[1]
## CaGaCo2 (PBE-GGA)

Data for a geometry-optimized CaGaCo2 structure.

Calculated values
The calculation puts the density of states at the Fermi level at 9.55 states/eV per cell. The raw total energy comes out at -4.618 eV per atom. The value obtained for the formation energy is 192 meV per atom.

Unit cell a=4.4337 b=4.4337 c=16.6267 alpha=90.00 beta=90.00 gamma=90.00
Closest atoms and distances in Å follow each position.
Space group I-42d (No. 122)
Symmetry-distinct sites (fractional):
Ca 0.0000 0.0000 0.0000  8 Co 3.13-3.34, 4 Ga 3.14
Ga 0.0000 0.0000 0.5000  4 Co 2.36
Co 0.0356 0.2500 0.6250  2 Co 2.24, 2 Ga 2.36

=====

[2]
## Ca2Ga5Co3 (PBE-GGA)

Data for a geometry-optimized Ca2Ga5Co3 structure.

Calculated values
The calculation puts the density of states at the Fermi level at 35.16 states/eV per cell. The raw total energy comes out at -4.377 eV per atom. The value obtained for the formation energy is -331 meV per atom.

Unit cell a=9.5624 b=12.5334 c=5.6189 alpha=90.00 beta=90.00 gamma=90.00
Closest atoms and distances in Å follow each position.
Space group Ibam (No. 72)
Symmetry-distinct sites (fractional):
Ca 0.2248 0.1485 0.0000  4 Co 2.88-3.17, 9 Ga 3.00-3.17
Ga 0.0000 0.0000 0.2500  4 Co 2.45
Ga 0.0000 0.2968 0.2500  3 Co 2.44-2.55, 2 Ga 2.73
Ga 0.1843 0.4196 0.0000  3 Co 2.44-2.47, 2 Ga 2.73
Co 0.0000 0.5000 0.2500  6 Ga 2.47-2.55
Co 0.0767 0.1486 0.5000  5 Ga 2.44-2.45

=====

[3]
## Ca3Ga3Co (PBE-GGA)

Data for a geometry-optimized Ca3Ga3Co structure.

Calculated values
The calculation puts the density of states at the Fermi level at 21.28 states/eV per cell. The raw total energy comes out at -3.540 eV per atom. The value obtained for the formation energy is -370 meV per atom.

Unit cell a=11.0613 b=4.2751 c=14.7615 alpha=90.00 beta=111.41 gamma=90.00
Closest atoms and distances in Å follow each position.
Space group C2/m (No. 12)
Symmetry-distinct sites (fractional):
Ca 0.0253 0.0000 0.3892  4 Co 3.09-3.33, 7 Ga 3.11-3.34
Ca 0.1046 0.0000 0.9205  7 Ga 3.17-3.30
Ca 0.2439 0.5000 0.7651  6 Ga 3.01-3.34
Ga 0.0644 0.5000 0.2491  1 Co 2.45, 1 Ga 2.71
Ga 0.1071 0.5000 0.0794  2 Ga 2.66-2.71
Ga 0.1612 0.5000 0.5468  3 Co 2.39-2.44
Co 0.2362 0.5000 0.4107  4 Ga 2.39-2.45

=====

[4]
## CaGa12Co6 (PBE-GGA)

Data for a geometry-optimized CaGa12Co6 structure.

Calculated values
The calculation puts the density of states at the Fermi level at 25.27 states/eV per cell. The raw total energy comes out at -4.489 eV per atom. The value obtained for the formation energy is -228 meV per atom.

Unit cell a=11.0238 b=11.0238 c=8.3722 alpha=90.00 beta=90.00 gamma=120.00
Closest atoms and distances in Å follow each position.
Space group R-3m (No. 166, hexagonal axes)
Symmetry-distinct sites (fractional):
Ca 0.0000 0.0000 0.0000  6 Ga 3.22
Ga 0.0000 0.3815 0.5000  4 Co 2.45-2.48, 3 Ga 2.61-2.69
Ga 0.0895 0.1791 0.3263  3 Co 2.39-2.43
Co 0.0562 0.5281 0.2563  7 Ga 2.39-2.48

=====

[5]
## CaGa3Co (PBE-GGA)

Data for a geometry-optimized CaGa3Co structure.

Calculated values
The calculation puts the density of states at the Fermi level at 13.04 states/eV per cell. The raw total energy comes out at -4.016 eV per atom. The value obtained for the formation energy is -379 meV per atom.

Unit cell a=11.5773 b=6.1452 c=5.0623 alpha=90.00 beta=93.68 gamma=90.00
Closest atoms and distances in Å follow each position.
Space group C2/m (No. 12)
Symmetry-distinct sites (fractional):
Ca 0.1550 0.0000 0.4877  1 Co 3.04, 9 Ga 3.07-3.29
Ga 0.0000 0.1986 0.0000  2 Co 2.43, 1 Ga 2.44
Ga 0.0928 0.5000 0.6630  3 Co 2.44-2.65, 1 Ga 2.62
Ga 0.2500 0.2500 0.0000  2 Co 2.43
Co 0.1146 0.5000 0.1868  7 Ga 2.43-2.65

=====

[6]
## CaGaCo2 (PBE-GGA)

Data for a geometry-optimized CaGaCo2 structure.

Calculated values
The calculation puts the density of states at the Fermi level at 7.25 states/eV per cell. The raw total energy comes out at -4.971 eV per atom. The value obtained for the formation energy is -161 meV per atom.

Unit cell a=4.0869 b=4.0869 c=15.3794 alpha=90.00 beta=90.00 gamma=120.00
Closest atoms and distances in Å follow each position.
Space group R3m (No. 160, hexagonal axes)
Symmetry-distinct sites (fractional):
Ca 0.0000 0.0000 0.0000  4 Co 2.95-3.21, 4 Ga 2.96-3.20
Ga 0.0000 0.0000 0.1924  6 Co 2.44-2.49
Co 0.0000 0.0000 0.4849  3 Co 2.36, 3 Ga 2.44
Co 0.0000 0.0000 0.8080  3 Co 2.36, 3 Ga 2.49

=====

[7]
## CaGa3Co (PBE-GGA)

Data for a geometry-optimized CaGa3Co structure.

Calculated values
The calculation puts the density of states at the Fermi level at 14.68 states/eV per cell. The raw total energy comes out at -4.031 eV per atom. The value obtained for the formation energy is -394 meV per atom.

Unit cell a=8.2916 b=4.1125 c=10.5714 alpha=90.00 beta=90.00 gamma=90.00
Closest atoms and distances in Å follow each position.
Space group Pnma (No. 62)
Symmetry-distinct sites (fractional):
Ca 0.1915 0.2500 0.0083  10 Ga 3.04-3.39, 2 Co 3.13
Ga 0.0552 0.2500 0.5809  3 Co 2.46-2.55, 1 Ga 2.66
Ga 0.1203 0.7500 0.7843  2 Co 2.36-2.38
Ga 0.1440 0.7500 0.2225  2 Co 2.49, 1 Ga 2.66
Co 0.1053 0.2500 0.3517  7 Ga 2.36-2.55

=====

[8]
## Ca2Ga2Co (PBE-GGA)

Data for a geometry-optimized Ca2Ga2Co structure.

Calculated values
The calculation puts the density of states at the Fermi level at 14.24 states/eV per cell. The raw total energy comes out at -3.769 eV per atom. The energy above the most stable polymorph in this dataset is 0.00 eV per formula unit. The value obtained for the formation energy is -336 meV per atom.

Unit cell a=10.7720 b=4.3338 c=10.7250 alpha=90.00 beta=119.35 gamma=90.00
Closest atoms and distances in Å follow each position.
Space group C2/m (No. 12)
Symmetry-distinct sites (fractional):
Ca 0.0005 0.0000 0.1638  4 Co 3.09-3.21, 7 Ga 3.11-3.30
Ca 0.1955 0.0000 0.6117  6 Ga 3.02-3.28
Ga 0.0089 0.5000 0.6310  1 Co 2.43, 1 Ga 2.72
Ga 0.1686 0.5000 0.0664  3 Co 2.42-2.43
Co 0.2178 0.5000 0.8677  4 Ga 2.42-2.43